Compound: BeCr2O
Source: Alexandria
Functional: PBE with a Hubbard U
Structure: relaxed

Structure (POSCAR):
```
BeCr2O
1.0
-1.671 4.040 3.821
-4.206 -3.528 1.891
-0.601 -1.173 5.389
O Be Cr
2 2 4
Direct
0.000 0.000 0.000
0.750 0.250 0.500
0.500 0.500 0.000
0.250 0.750 0.500
0.043 0.625 0.250
0.707 0.125 0.250
0.375 0.293 0.750
0.875 0.957 0.750
```

- crystal system = tetragonal
- total DFT energy (no corrections) (hartree per atom) = -0.2155
- DOS(E_F) (states/eV per atom) = 0.32
- M_tot (μB/cell) = 15.98